MnBePIrF after structural relaxation, computed with GGA+U.

Properties
DFT total energy, eV/atom: -6.395
E above lowest polymorph, meV/atom: 0
DOS(E_F), states/eV per atom: 0.1914
Total magnetization, μB per atom: 0.96

```
data_MnBePIrF
_chemical_formula_sum 'Mn2 Be2 P2 Ir2 F2'
_space_group_name_H-M_alt 'C 1 m 1'
_space_group_IT_number 8
_cell_length_a 7.479
_cell_length_b 3.521
_cell_length_c 6.838
_cell_angle_alpha 90.00
_cell_angle_beta 119.49
_cell_angle_gamma 90.00
loop_
_space_group_symop_operation_xyz
'x,y,z'
'x,-y,z'
'x+1/2,y+1/2,z'
'x+1/2,-y+1/2,z'
loop_
_atom_site_label
_atom_site_type_symbol
_atom_site_fract_x
_atom_site_fract_y
_atom_site_fract_z
Mn1 Mn 0.000 0.000 0.000
Be1 Be 0.276 0.500 0.504
P1 P 0.487 0.000 0.687
Ir1 Ir 0.190 0.000 0.702
F1 F 0.152 0.500 0.242
```